The following is a GGA-PBE calculation of an optimized crystal structure of Tb4SmY3, from Alexandria.

POSCAR file:
```
Tb4SmY3
1.0
-0.464 -3.438 -0.173
2.092 -0.603 6.380
-11.436 3.271 0.516
Tb Y Sm
4 3 1
Direct
0.740 0.244 0.480
0.125 0.370 0.250
0.875 0.630 0.750
0.260 0.756 0.520
0.126 0.883 0.252
0.874 0.117 0.748
0.000 0.500 0.000
0.500 0.000 0.000
```

## Properties
The value obtained for the formation energy is 0.173 eV per atom. The value obtained for the density of states at the Fermi level is 1.851 states/eV per atom.

---

The following is a GGA-PBE calculation of an optimized crystal structure of TbSm6Y, from Alexandria.

POSCAR file:
```
TbSm6Y
1.0
-0.510 -5.337 -3.229
6.041 1.128 1.187
-3.291 -1.588 7.208
Sm Y Tb
6 1 1
Direct
0.251 0.251 0.501
0.624 0.125 0.249
0.125 0.624 0.249
0.875 0.376 0.751
0.376 0.875 0.751
0.749 0.749 0.499
0.000 0.000 0.000
0.500 0.500 0.000
```

## Properties
The value obtained for the formation energy is 0.016 eV per atom. The value obtained for the density of states at the Fermi level is 1.490 states/eV per atom.

---

The following is a GGA-PBE calculation of an optimized crystal structure of Tb3Sm4Y, from Alexandria.

POSCAR file:
```
Tb3Sm4Y
1.0
6.331 0.000 0.000
0.000 7.322 0.000
0.000 0.000 11.514
Sm Tb Y
8 6 2
Direct
0.148 0.874 0.500
0.980 0.126 0.251
0.147 0.874 0.000
0.648 0.126 0.000
0.480 0.874 0.751
0.480 0.874 0.249
0.980 0.126 0.749
0.647 0.126 0.500
0.148 0.376 0.500
0.981 0.624 0.750
0.648 0.624 0.000
0.481 0.376 0.250
0.981 0.624 0.250
0.481 0.376 0.750
0.649 0.623 0.500
0.149 0.377 0.000
```

## Properties
The value obtained for the formation energy is 0.022 eV per atom. The value obtained for the density of states at the Fermi level is 1.792 states/eV per atom.

---

The following is a GGA-PBE calculation of an optimized crystal structure of Tb12SmY6, from Alexandria.

POSCAR file:
```
Tb12SmY6
1.0
-7.061 -5.179 1.231
3.168 -0.103 8.256
-4.063 7.851 0.243
Tb Y Sm
12 6 1
Direct
0.500 0.882 0.118
0.118 0.882 0.500
0.500 0.118 0.882
0.816 0.530 0.530
0.882 0.118 0.500
0.184 0.470 0.470
0.470 0.184 0.470
0.530 0.816 0.530
0.882 0.500 0.118
0.118 0.500 0.882
0.530 0.530 0.816
0.470 0.470 0.184
0.204 0.744 0.204
0.796 0.256 0.796
0.796 0.796 0.256
0.256 0.796 0.796
0.744 0.204 0.204
0.204 0.204 0.744
0.000 0.000 0.000
```

## Properties
The value obtained for the formation energy is 0.448 eV per atom. The value obtained for the density of states at the Fermi level is 1.229 states/eV per atom.

---

The following is a GGA-PBE calculation of an optimized crystal structure of Tb5Sm6Y2, from Alexandria.

POSCAR file:
```
Tb5Sm6Y2
1.0
-0.616 1.951 2.978
5.586 -8.066 6.439
17.687 9.962 -2.865
Tb Y Sm
10 4 12
Direct
0.500 0.908 0.775
0.500 0.199 0.946
0.500 0.301 0.446
0.500 0.000 0.500
0.500 0.500 0.000
0.500 0.592 0.275
0.500 0.408 0.725
0.500 0.092 0.225
0.500 0.699 0.554
0.500 0.801 0.054
0.000 0.333 0.289
0.000 0.833 0.211
0.000 0.167 0.789
0.000 0.667 0.711
0.500 0.326 0.134
0.000 0.919 0.633
0.000 0.419 0.867
0.000 0.581 0.133
0.000 0.081 0.367
0.500 0.826 0.366
0.500 0.174 0.634
0.000 0.441 0.580
0.000 0.941 0.920
0.500 0.674 0.866
0.000 0.559 0.420
0.000 0.059 0.080
```

## Properties
The value obtained for the formation energy is 0.096 eV per atom. The value obtained for the density of states at the Fermi level is 1.176 states/eV per atom.

---

The following is a GGA-PBE calculation of an optimized crystal structure of Tb7SmY4, from Alexandria.

POSCAR file:
```
Tb7SmY4
1.0
-2.649 -0.187 5.283
-0.908 -11.297 2.454
4.052 0.065 5.343
Tb Y Sm
7 4 1
Direct
0.790 0.923 0.498
0.500 0.000 0.000
0.061 0.675 0.202
0.210 0.077 0.502
0.632 0.499 0.237
0.939 0.325 0.798
0.368 0.501 0.763
0.365 0.776 0.494
0.635 0.224 0.506
0.753 0.682 0.812
0.247 0.318 0.188
0.000 0.000 0.000
```

## Properties
The value obtained for the formation energy is 0.267 eV per atom. The value obtained for the density of states at the Fermi level is 1.684 states/eV per atom.

---

The following is a GGA-PBE calculation of an optimized crystal structure of Tb3Sm4Y2, from Alexandria.

POSCAR file:
```
Tb3Sm4Y2
1.0
-2.102 -0.339 2.898
5.172 -3.248 1.140
10.300 7.489 8.348
Tb Sm Y
3 4 2
Direct
0.000 0.000 0.000
0.667 0.333 0.446
0.333 0.667 0.554
0.999 0.999 0.666
0.001 0.001 0.334
0.334 0.667 0.889
0.666 0.333 0.111
0.667 0.334 0.777
0.333 0.666 0.223
```

## Properties
The value obtained for the formation energy is 0.014 eV per atom. The value obtained for the density of states at the Fermi level is 1.236 states/eV per atom.

---

The following is a GGA-PBE calculation of an optimized crystal structure of Tb12SmY6, from Alexandria.

POSCAR file:
```
Tb12SmY6
1.0
0.449 -6.184 -6.133
3.622 -4.428 6.583
-8.376 -0.976 2.225
Tb Y Sm
12 6 1
Direct
0.500 0.757 0.243
0.243 0.757 0.500
0.356 0.356 0.081
0.356 0.081 0.356
0.919 0.644 0.644
0.757 0.243 0.500
0.757 0.500 0.243
0.081 0.356 0.356
0.243 0.500 0.757
0.644 0.919 0.644
0.644 0.644 0.919
0.500 0.243 0.757
0.899 0.341 0.899
0.101 0.101 0.659
0.101 0.659 0.101
0.899 0.899 0.341
0.659 0.101 0.101
0.341 0.899 0.899
0.000 0.000 0.000
```

## Properties
The value obtained for the formation energy is 0.210 eV per atom. The value obtained for the density of states at the Fermi level is 1.896 states/eV per atom.